## one
This record from the Alexandria database describes a geometry-optimized Ca2LaAl2 structure. The functional is PBE.

Values from the calculation:
As for the magnetic moment: 0.00 μB/cell. As for the space group: I4/mmm, No. 139. The calculation puts the density of states at the Fermi level at 2.778 states/eV/f.u. The calculation puts the calculated volume at 31.1 A^3/atom.

Cell and atoms, written as POSCAR:
```
Ca2LaAl2
1.0
4.893 0.000 0.000
0.000 4.893 0.000
0.000 0.000 13.008
Ca La Al
4 2 4
Cartesian
0.000 0.000 1.617
0.000 0.000 11.390
2.446 2.446 4.887
2.446 2.446 8.121
0.000 0.000 6.504
2.446 2.446 0.000
0.000 2.446 3.252
0.000 2.446 9.756
2.446 0.000 3.252
2.446 0.000 9.756
```

---

## two
This record from the Alexandria database describes a geometry-optimized Ca2LaAl2 structure. The functional is PBE.

Values from the calculation:
As for the magnetic moment: 0.59 μB/cell. As for the space group: P4/mbm, No. 127. The calculation puts the density of states at the Fermi level at 2.666 states/eV/f.u. The calculation puts the calculated volume at 28.2 A^3/atom.

Cell and atoms, written as POSCAR:
```
Ca2LaAl2
1.0
9.217 0.000 0.000
0.000 9.217 0.000
0.000 0.000 3.320
Ca La Al
4 2 4
Cartesian
1.144 3.464 0.000
3.464 8.073 0.000
5.753 1.144 0.000
8.073 5.753 0.000
0.000 0.000 0.000
4.608 4.608 0.000
1.611 6.220 1.660
2.997 1.611 1.660
6.220 7.605 1.660
7.605 2.997 1.660
```

---

## three
This record from the Alexandria database describes a geometry-optimized Ca2LaAl2 structure. The functional is PBE.

Values from the calculation:
As for the magnetic moment: 1.73 μB/cell. As for the space group: I4/mmm, No. 139. The calculation puts the density of states at the Fermi level at 4.426 states/eV/f.u. The calculation puts the calculated volume at 30.6 A^3/atom.

Cell and atoms, written as POSCAR:
```
Ca2LaAl2
1.0
4.726 0.000 0.000
0.000 4.726 0.000
0.000 0.000 13.712
Ca La Al
4 2 4
Cartesian
0.000 2.363 3.428
0.000 2.363 10.284
2.363 0.000 3.428
2.363 0.000 10.284
0.000 0.000 0.000
2.363 2.363 6.856
0.000 0.000 5.594
0.000 0.000 8.119
2.363 2.363 1.262
2.363 2.363 12.450
```

---

Need the numbers? Relative energies in kJ/mol of atoms: one 30.7; two 0.0; three 0.5.